LiSc2Re PBE optimized geometry; energy relative to the elements = 0.20 eV/atom; magnetization = 0.00 μB per cell; energy = -6.56 eV/atom; symmetry = R-3m
1.0
1.825 0.000 10.011
-0.912 1.580 10.011
-0.912 -1.580 10.011
Sc Re Li
2 1 1
direct
0.900 0.900 0.900
0.100 0.100 0.100
0.500 0.500 0.500
0.000 0.000 0.000